[1]
The following is a PBE-GGA calculation of a geometry-optimized MnZn2Tc structure, from the Alexandria database.

total moment: 0.3 μB per cell
offset from the most stable computed form: 122.1 meV/atom
space group: No. 216
ΔH_f (0 K): 0.51 eV per formula unit

a b c (Å): 4.217 4.217 4.217
angles (deg): 60.00 60.00 60.00
Positions (direct):
Mn1 0.000 0.000 0.000
Zn1 0.500 0.500 0.500
Zn2 0.750 0.750 0.750
Tc1 0.250 0.250 0.250

=====

[2]
The following is a PBE-GGA calculation of a geometry-optimized La3Pa2Rh4 structure, from the Alexandria database.

total moment: 0.0 μB per cell
space group: No. 12
ΔH_f (0 K): -6.23 eV per formula unit

a b c (Å): 6.419 6.419 9.524
angles (deg): 100.51 100.51 35.50
Positions (direct):
La1 0.000 0.000 0.000
La2 0.371 0.371 0.610
La3 0.629 0.629 0.390
Pa1 0.320 0.320 0.220
Pa2 0.680 0.680 0.780
Rh1 0.058 0.058 0.649
Rh2 0.307 0.307 0.920
Rh3 0.693 0.693 0.080
Rh4 0.942 0.942 0.351

=====

> total moment of number 1 (MnZn2Tc)?

0.3 μB per cell